No. 1
PBE-GGA Nd4Pa3N8, relaxed; total energy = -133.1 eV for the cell shown; N(E_F) = 0.349 states/eV per atom; total magnetization = 0.00 μB per atom
1.0
4.949 -5.038 0.000
4.949 5.038 0.000
-4.939 0.000 5.100
Nd Pa N
4 3 8
Direct
0.000 0.000 0.000 Nd
0.000 0.500 0.000 Nd
0.500 0.000 0.000 Nd
0.500 0.500 0.500 Nd
0.000 0.500 0.500 Pa
0.500 0.000 0.500 Pa
0.500 0.500 0.000 Pa
0.256 0.744 0.000 N
0.258 0.742 0.500 N
0.262 0.262 0.514 N
0.291 0.291 0.025 N
0.709 0.709 0.975 N
0.738 0.738 0.486 N
0.742 0.258 0.500 N
0.744 0.256 0.000 N



No. 2
PBE-GGA EuSc2Hg, relaxed; DFT formation energy = -0.013 eV per atom; N(E_F) = 1.433 states/eV per atom; total magnetization = 2.24 μB per atom
1.0
7.306 0.000 0.000
0.000 7.306 0.000
0.000 0.000 7.306
Eu Sc Hg
4 8 4
Direct
0.000 0.000 0.000 Eu
0.000 0.500 0.500 Eu
0.500 0.000 0.500 Eu
0.500 0.500 0.000 Eu
0.250 0.250 0.250 Sc
0.250 0.250 0.750 Sc
0.250 0.750 0.250 Sc
0.250 0.750 0.750 Sc
0.750 0.250 0.250 Sc
0.750 0.250 0.750 Sc
0.750 0.750 0.250 Sc
0.750 0.750 0.750 Sc
0.000 0.000 0.500 Hg
0.000 0.500 0.000 Hg
0.500 0.000 0.000 Hg
0.500 0.500 0.500 Hg



No. 3
PBE-GGA NaHg2Mo, relaxed; DFT formation energy = 0.893 eV per atom; N(E_F) = 0.857 states/eV per atom; total magnetization = 0.93 μB per atom
1.0
4.568 0.000 0.000
0.000 4.568 0.000
0.000 0.000 19.701
Na Hg Mo
4 8 4
Direct
0.000 0.000 0.000 Na
0.000 0.500 0.250 Na
0.500 0.000 0.750 Na
0.500 0.500 0.500 Na
0.232 0.250 0.625 Hg
0.250 0.732 0.875 Hg
0.250 0.768 0.375 Hg
0.268 0.250 0.125 Hg
0.732 0.750 0.125 Hg
0.750 0.232 0.375 Hg
0.750 0.268 0.875 Hg
0.768 0.750 0.625 Hg
0.000 0.000 0.500 Mo
0.000 0.500 0.750 Mo
0.500 0.000 0.250 Mo
0.500 0.500 0.000 Mo



Among the records above, which one has the highest total magnetization?
EuSc2Hg